This record from the Alexandria database describes SrMg3Pb9 after structural relaxation. The functional is PBE.

It has space group C2/m (No. 12), with a = 6.161 Å, b = 16.195 Å, c = 8.302 Å, α = 90.00°, β = 107.36° and γ = 90.00°. Symmetry generates all atoms from Sr at (0.000, 0.000, 0.000), Mg at (0.000, 0.500, 0.500), Mg at (0.250, 0.250, 0.000), Pb at (0.000, 0.000, 0.500), Pb at (0.093, 0.392, 0.209) and Pb at (0.155, 0.180, 0.340).

The volume is 790.62 Å³ per cell. The calculation puts the formation energy from the elements at -101 meV/atom. For the total energy, the calculation gives -3.166 eV per atom. Its crystal system is monoclinic.


This record from the Alexandria database describes SrMg5Pb2 after structural relaxation. The functional is PBE.

It has space group Immm (No. 71), with a = 4.583 Å, b = 8.672 Å, c = 11.217 Å, α = 90.00°, β = 90.00° and γ = 90.00°. Symmetry generates all atoms from Sr at (0.000, 0.000, 0.000), Mg at (0.000, 0.181, 0.360), Mg at (0.000, 0.500, 0.000) and Pb at (0.000, 0.500, 0.264).

The volume is 445.82 Å³ per cell. The calculation puts the formation energy from the elements at -169 meV/atom. For the total energy, the calculation gives -2.303 eV per atom. Its crystal system is orthorhombic.


This record from the Alexandria database describes SrMg2Pb2 after structural relaxation. The functional is PBE.

It has space group I4/mmm (No. 139), with a = 4.803 Å, b = 4.803 Å, c = 13.150 Å, α = 90.00°, β = 90.00° and γ = 90.00°. Symmetry generates all atoms from Sr at (0.000, 0.000, 0.000), Mg at (0.000, 0.500, 0.250) and Pb at (0.000, 0.000, 0.383).

The volume is 303.40 Å³ per cell. The calculation puts the formation energy from the elements at -302 meV/atom. For the total energy, the calculation gives -2.759 eV per atom. Its crystal system is tetragonal.


This record from the Alexandria database describes SrMgPb4 after structural relaxation. The functional is PBE.

It has space group F-43m (No. 216), with a = 9.283 Å, b = 9.283 Å, c = 9.283 Å, α = 90.00°, β = 90.00° and γ = 90.00°. Symmetry generates all atoms from Sr at (0.000, 0.000, 0.000), Mg at (0.250, 0.250, 0.750) and Pb at (0.126, 0.126, 0.374).

The volume is 800.02 Å³ per cell. The calculation puts the formation energy from the elements at -99 meV/atom. For the total energy, the calculation gives -3.118 eV per atom. Its crystal system is cubic.


This record from the Alexandria database describes Sr3Mg2Pb4 after structural relaxation. The functional is PBE.

It has space group C2/m (No. 12), with a = 12.879 Å, b = 4.922 Å, c = 9.614 Å, α = 90.00°, β = 105.34° and γ = 90.00°. Symmetry generates all atoms from Sr at (0.000, 0.000, 0.000), Sr at (0.114, 0.500, 0.704), Mg at (0.205, 0.500, 0.383), Pb at (0.077, 0.000, 0.389) and Pb at (0.202, 0.500, 0.071).

The volume is 587.77 Å³ per cell. The calculation puts the formation energy from the elements at -432 meV/atom. For the total energy, the calculation gives -2.995 eV per atom. Its crystal system is monoclinic.


This record from the Alexandria database describes SrMgPb after structural relaxation. The functional is PBE.

It has space group I4mm (No. 107), with a = 3.903 Å, b = 3.903 Å, c = 12.597 Å, α = 90.00°, β = 90.00° and γ = 90.00°. Symmetry generates all atoms from Sr at (0.000, 0.000, 0.000), Mg at (0.000, 0.000, 0.309) and Pb at (0.000, 0.000, 0.686).

The volume is 191.91 Å³ per cell. The calculation puts the formation energy from the elements at -226 meV/atom. For the total energy, the calculation gives -2.554 eV per atom. Its crystal system is tetragonal.


This record from the Alexandria database describes SrMg3Pb4 after structural relaxation. The functional is PBE.

It has space group Pmma (No. 51), with a = 10.517 Å, b = 8.180 Å, c = 5.262 Å, α = 90.00°, β = 90.00° and γ = 90.00°. Symmetry generates all atoms from Sr at (0.000, 0.000, 0.000), Mg at (0.000, 0.500, 0.000), Mg at (0.250, 0.000, 0.498), Mg at (0.250, 0.500, 0.493), Pb at (0.000, 0.277, 0.500) and Pb at (0.250, 0.277, 0.995).

The volume is 452.69 Å³ per cell. The calculation puts the formation energy from the elements at -173 meV/atom. For the total energy, the calculation gives -2.835 eV per atom. Its crystal system is orthorhombic.


This record from the Alexandria database describes SrMgPb after structural relaxation. The functional is PBE.

It has space group P3m1 (No. 156), with a = 5.0552 Å, b = 5.0552 Å, c = 4.3966 Å, α = 90.00°, β = 90.00° and γ = 120.00°. Symmetry generates all atoms from Sr at (0.0000, 0.0000, 0.0000), Mg at (0.6667, 0.3333, 0.4982) and Pb at (0.3333, 0.6667, 0.5027).

The volume is 97.30 Å³ per cell. The calculation puts the formation energy from the elements at -340 meV/atom. For the total energy, the calculation gives -2.668 eV per atom. Its crystal system is trigonal.


This record from the Alexandria database describes Sr4MgPb2 after structural relaxation. The functional is PBE.

It has space group R-3m (No. 166, hexagonal axes), with a = 5.7845 Å, b = 5.7845 Å, c = 28.1445 Å, α = 90.00°, β = 90.00° and γ = 120.00°. Symmetry generates all atoms from Sr at (0.0000, 0.0000, 0.1230), Sr at (0.0000, 0.0000, 0.3737), Mg at (0.0000, 0.0000, 0.5000) and Pb at (0.0000, 0.0000, 0.2494).

The volume is 815.56 Å³ per cell. The calculation puts the formation energy from the elements at -419 meV/atom. For the total energy, the calculation gives -2.667 eV per atom. Its crystal system is trigonal.


This record from the Alexandria database describes SrMgPb2 after structural relaxation. The functional is PBE.

It has space group P2/m (No. 10), with a = 3.694 Å, b = 5.028 Å, c = 6.815 Å, α = 90.00°, β = 97.60° and γ = 90.00°. Symmetry generates all atoms from Sr at (0.000, 0.000, 0.000), Mg at (0.500, 0.000, 0.500) and Pb at (0.378, 0.500, 0.737).

The volume is 125.50 Å³ per cell. The calculation puts the formation energy from the elements at -241 meV/atom. For the total energy, the calculation gives -2.915 eV per atom. Its crystal system is monoclinic.


This record from the Alexandria database describes Sr3Mg7Pb4 after structural relaxation. The functional is PBE.

It has space group C2/m (No. 12), with a = 18.117 Å, b = 4.853 Å, c = 11.163 Å, α = 90.00°, β = 124.86° and γ = 90.00°. Symmetry generates all atoms from Sr at (0.000, 0.000, 0.000), Sr at (0.197, 0.500, 0.701), Mg at (0.000, 0.000, 0.500), Mg at (0.009, 0.500, 0.316), Mg at (0.156, 0.000, 0.432), Mg at (0.175, 0.500, 0.019), Pb at (0.123, 0.000, 0.838) and Pb at (0.154, 0.500, 0.268).

The volume is 805.31 Å³ per cell. The calculation puts the formation energy from the elements at -296 meV/atom. For the total energy, the calculation gives -2.513 eV per atom. Its crystal system is monoclinic.


This record from the Alexandria database describes SrMgPb after structural relaxation. The functional is PBE.

It has space group C2/m (No. 12), with a = 6.861 Å, b = 6.861 Å, c = 8.064 Å, α = 90.00°, β = 90.04° and γ = 90.00°. Symmetry generates all atoms from Sr at (0.250, 0.000, 0.168), Mg at (0.000, 0.250, 0.500) and Pb at (0.250, 0.000, 0.732).

The volume is 379.60 Å³ per cell. The calculation puts the formation energy from the elements at -462 meV/atom. For the total energy, the calculation gives -2.790 eV per atom. Its crystal system is monoclinic.


This record from the Alexandria database describes SrMgPb2 after structural relaxation. The functional is PBE.

It has space group R-3m (No. 166, hexagonal axes), with a = 3.8675 Å, b = 3.8675 Å, c = 29.6844 Å, α = 90.00°, β = 90.00° and γ = 120.00°. Symmetry generates all atoms from Sr at (0.0000, 0.0000, 0.0000), Mg at (0.0000, 0.0000, 0.5000) and Pb at (0.0000, 0.0000, 0.2413).

The volume is 384.52 Å³ per cell. The calculation puts the formation energy from the elements at -147 meV/atom. For the total energy, the calculation gives -2.820 eV per atom. Its crystal system is trigonal.


This record from the Alexandria database describes SrMgTe4Pb2 after structural relaxation. The functional is PBE.

It has space group P2/m (No. 10), with a = 7.942 Å, b = 4.576 Å, c = 7.947 Å, α = 90.00°, β = 109.39° and γ = 90.00°. Symmetry generates all atoms from Sr at (0.000, 0.000, 0.000), Mg at (0.000, 0.500, 0.500), Te at (0.233, 0.000, 0.728), Te at (0.243, 0.500, 0.264), Pb at (0.500, 0.000, 0.500) and Pb at (0.500, 0.500, 0.000).

The volume is 272.38 Å³ per cell. For the total energy, the calculation gives -3.702 eV per atom. Its crystal system is monoclinic. As for the formation energy from raw total energies: -6.35 eV per formula unit.


This record from the Alexandria database describes SrMg2TlPb after structural relaxation. The functional is PBE.

It has space group P4/mmm (No. 123), with a = 6.572 Å, b = 6.572 Å, c = 6.556 Å, α = 90.00°, β = 90.00° and γ = 90.00°. Symmetry generates all atoms from Sr at (0.000, 0.000, 0.000), Mg at (0.000, 0.500, 0.000), Tl at (0.000, 0.000, 0.500) and Pb at (0.500, 0.500, 0.500).

The volume is 283.19 Å³ per cell. The calculation puts the formation energy from the elements at 892 meV/atom. For the total energy, the calculation gives -1.298 eV per atom. Its crystal system is tetragonal.


This record from the Alexandria database describes Sr2Mg2Tl7Pb after structural relaxation. The functional is PBE.

It has space group C2/m (No. 12), with a = 7.083 Å, b = 6.816 Å, c = 15.843 Å, α = 90.00°, β = 95.85° and γ = 90.00°. Symmetry generates all atoms from Sr at (0.085, 0.000, 0.347), Mg at (0.063, 0.500, 0.270), Tl at (0.000, 0.500, 0.000), Tl at (0.179, 0.500, 0.454), Tl at (0.212, 0.251, 0.841) and Pb at (0.000, 0.000, 0.000).

The volume is 760.94 Å³ per cell. The calculation puts the formation energy from the elements at -81 meV/atom. For the total energy, the calculation gives -2.316 eV per atom. Its crystal system is monoclinic.


This record from the Alexandria database describes SrMgTl2Pb after structural relaxation. The functional is PBE.

It has space group Pmma (No. 51), with a = 6.468 Å, b = 6.806 Å, c = 7.049 Å, α = 90.00°, β = 90.00° and γ = 90.00°. Symmetry generates all atoms from Sr at (0.250, 0.000, 0.228), Mg at (0.000, 0.500, 0.000), Tl at (0.250, 0.234, 0.737) and Pb at (0.250, 0.500, 0.371).

The volume is 310.30 Å³ per cell. The calculation puts the formation energy from the elements at -201 meV/atom. For the total energy, the calculation gives -2.545 eV per atom. Its crystal system is orthorhombic.


This record from the Alexandria database describes SrMg2Tl2Pb after structural relaxation. The functional is PBE.

It has space group Pnnm (No. 58), with a = 6.857 Å, b = 9.673 Å, c = 5.194 Å, α = 90.00°, β = 90.00° and γ = 90.00°. Symmetry generates all atoms from Sr at (0.000, 0.000, 0.000), Mg at (0.209, 0.348, 0.000), Tl at (0.231, 0.173, 0.500) and Pb at (0.000, 0.500, 0.500).

The volume is 344.53 Å³ per cell. The calculation puts the formation energy from the elements at -158 meV/atom. For the total energy, the calculation gives -2.376 eV per atom. Its crystal system is orthorhombic.


This record from the Alexandria database describes Sr2Mg5Tl2Pb3 after structural relaxation. The functional is PBE.

It has space group I4/mmm (No. 139), with a = 4.628 Å, b = 4.628 Å, c = 35.884 Å, α = 90.00°, β = 90.00° and γ = 90.00°. Symmetry generates all atoms from Sr at (0.000, 0.000, 0.212), Mg at (0.000, 0.000, 0.000), Mg at (0.000, 0.500, 0.132), Tl at (0.000, 0.000, 0.077), Pb at (0.000, 0.000, 0.313) and Pb at (0.000, 0.000, 0.500).

The volume is 768.61 Å³ per cell. The calculation puts the formation energy from the elements at -66 meV/atom. For the total energy, the calculation gives -2.332 eV per atom. Its crystal system is tetragonal.


This record from the Alexandria database describes SrTmMgPb after structural relaxation. The functional is PBE.

It has space group F-43m (No. 216), with a = 7.846 Å, b = 7.846 Å, c = 7.846 Å, α = 90.00°, β = 90.00° and γ = 90.00°. Symmetry generates all atoms from Sr at (0.000, 0.000, 0.000), Tm at (0.000, 0.000, 0.500), Mg at (0.250, 0.250, 0.750) and Pb at (0.250, 0.250, 0.250).

The volume is 483.00 Å³ per cell. The calculation puts the formation energy from the elements at -212 meV/atom. For the total energy, the calculation gives -3.076 eV per atom. Its crystal system is cubic.


This record from the Alexandria database describes SrTmMg2Pb4 after structural relaxation. The functional is PBE.

It has space group R-3m (No. 166, hexagonal axes), with a = 5.4195 Å, b = 5.4195 Å, c = 27.1104 Å, α = 90.00°, β = 90.00° and γ = 120.00°. Symmetry generates all atoms from Sr at (0.0000, 0.0000, 0.0000), Tm at (0.0000, 0.0000, 0.5000), Mg at (0.0000, 0.0000, 0.2500), Pb at (0.0000, 0.0000, 0.1307) and Pb at (0.0000, 0.0000, 0.3817).

The volume is 689.59 Å³ per cell. The calculation puts the formation energy from the elements at -229 meV/atom. For the total energy, the calculation gives -3.251 eV per atom. Its crystal system is trigonal.


This record from the Alexandria database describes SrYMgPb after structural relaxation. The functional is PBE.

It has space group F-43m (No. 216), with a = 7.890 Å, b = 7.890 Å, c = 7.890 Å, α = 90.00°, β = 90.00° and γ = 90.00°. Symmetry generates all atoms from Sr at (0.000, 0.000, 0.000), Y at (0.000, 0.000, 0.500), Mg at (0.250, 0.250, 0.750) and Pb at (0.250, 0.250, 0.250).

The volume is 491.14 Å³ per cell. The calculation puts the formation energy from the elements at -258 meV/atom. For the total energy, the calculation gives -3.620 eV per atom. Its crystal system is cubic.


This record from the Alexandria database describes SrMg2Zn2Pb2 after structural relaxation. The functional is PBE.

It has space group R-3m (No. 166, hexagonal axes), with a = 4.8248 Å, b = 4.8248 Å, c = 26.4077 Å, α = 90.00°, β = 90.00° and γ = 120.00°. Symmetry generates all atoms from Sr at (0.0000, 0.0000, 0.0000), Mg at (0.0000, 0.0000, 0.1391), Zn at (0.0000, 0.0000, 0.4509) and Pb at (0.0000, 0.0000, 0.2562).

The volume is 532.38 Å³ per cell. The calculation puts the formation energy from the elements at -185 meV/atom. For the total energy, the calculation gives -2.304 eV per atom. Its crystal system is trigonal.


This record from the Alexandria database describes SrMgZnPb after structural relaxation. The functional is PBE.

It has space group F-43m (No. 216), with a = 7.574 Å, b = 7.574 Å, c = 7.574 Å, α = 90.00°, β = 90.00° and γ = 90.00°. Symmetry generates all atoms from Sr at (0.000, 0.000, 0.000), Mg at (0.000, 0.000, 0.500), Zn at (0.250, 0.250, 0.250) and Pb at (0.250, 0.250, 0.750).

The volume is 434.49 Å³ per cell. The calculation puts the formation energy from the elements at -239 meV/atom. For the total energy, the calculation gives -2.304 eV per atom. Its crystal system is cubic.


This record from the Alexandria database describes SrMg2ZnPb after structural relaxation. The functional is PBE.

It has space group P4/mmm (No. 123), with a = 5.100 Å, b = 5.100 Å, c = 5.745 Å, α = 90.00°, β = 90.00° and γ = 90.00°. Symmetry generates all atoms from Sr at (0.000, 0.000, 0.000), Mg at (0.000, 0.500, 0.500), Zn at (0.000, 0.000, 0.500) and Pb at (0.500, 0.500, 0.000).

The volume is 149.44 Å³ per cell. The calculation puts the formation energy from the elements at 30 meV/atom. For the total energy, the calculation gives -1.940 eV per atom. Its crystal system is tetragonal.